{
  "formula": "Sc2FeRh",
  "functional": "PBE",
  "state": "relaxed",
  "cell": [[-6.819, 4.721, -3.760], [-8.412, 2.380, -2.553], [-7.690, 4.812, -0.809]],
  "species": ["Fe", "Rh", "Sc", "Sc"],
  "fractional_positions": [[0.493, 0.493, 0.493], [0.754, 0.754, 0.754], [0.014, 0.014, 0.014], [0.239, 0.239, 0.239]],
  "e_tot_ev_per_cell": -28.4
}


{
  "formula": "ScFe3Rh",
  "functional": "PBE",
  "state": "relaxed",
  "cell": [[4.590, 0.000, 0.000], [0.000, 4.590, 0.000], [0.000, 0.000, 4.590]],
  "species": ["Sc", "Rh", "Fe", "Fe", "Fe"],
  "fractional_positions": [[0.500, 0.500, 0.500], [0.000, 0.000, 0.000], [0.000, 0.500, 0.000], [0.000, 0.000, 0.500], [0.500, 0.000, 0.000]],
  "e_tot_ev_per_cell": -35.0
}


{
  "formula": "Sc6FeRh",
  "functional": "PBE",
  "state": "relaxed",
  "cell": [[-4.518, 1.934, -3.630], [-5.274, -0.441, 3.114], [-2.019, 4.426, 3.263]],
  "species": ["Sc", "Sc", "Sc", "Sc", "Sc", "Sc", "Fe", "Rh"],
  "fractional_positions": [[0.742, 0.448, 0.641], [0.742, 0.089, 0.359], [0.258, 0.911, 0.641], [0.258, 0.552, 0.359], [0.735, 0.750, 0.000], [0.265, 0.250, 0.000], [0.500, 0.500, 0.000], [0.000, 0.000, 0.000]],
  "e_tot_ev_per_cell": -55.2
}


{
  "formula": "Sc2Fe2Rh",
  "functional": "PBE",
  "state": "relaxed",
  "cell": [[-0.915, 3.627, -5.089], [-3.305, -4.646, -2.717], [-3.360, 1.438, 1.629]],
  "species": ["Sc", "Sc", "Sc", "Sc", "Rh", "Rh", "Fe", "Fe", "Fe", "Fe"],
  "fractional_positions": [[0.182, 0.682, 0.500], [0.682, 0.818, 0.500], [0.818, 0.318, 0.500], [0.318, 0.182, 0.500], [0.000, 0.000, 0.000], [0.500, 0.500, 0.000], [0.380, 0.880, 0.000], [0.880, 0.620, 0.000], [0.620, 0.120, 0.000], [0.120, 0.380, 0.000]],
  "e_tot_ev_per_cell": -76.3
}


{
  "formula": "Sc2FeRh",
  "functional": "PBE",
  "state": "relaxed",
  "cell": [[3.056, 0.000, 0.000], [0.000, 5.573, -0.156], [0.000, 3.614, 3.901]],
  "species": ["Fe", "Rh", "Sc", "Sc"],
  "fractional_positions": [[0.500, 0.500, 0.500], [0.000, 0.000, 0.500], [0.000, 0.000, 0.000], [0.500, 0.500, 0.000]],
  "e_tot_ev_per_cell": -29.2
}


{
  "formula": "Sc2FeRh",
  "functional": "PBE",
  "state": "relaxed",
  "cell": [[-0.949, -2.482, -2.185], [2.978, -1.629, 0.557], [-2.490, -3.012, 4.504]],
  "species": ["Fe", "Rh", "Sc", "Sc"],
  "fractional_positions": [[0.000, 0.000, 0.483], [0.500, 0.500, 0.763], [0.000, 0.000, 0.950], [0.500, 0.500, 0.304]],
  "e_tot_ev_per_cell": -29.2
}


{
  "formula": "Sc2FeRh",
  "functional": "PBE",
  "state": "relaxed",
  "cell": [[3.140, 0.000, 0.000], [0.000, 3.140, 0.000], [0.000, 0.000, 7.384]],
  "species": ["Fe", "Rh", "Sc", "Sc"],
  "fractional_positions": [[0.000, 0.000, 0.529], [0.500, 0.500, 0.726], [0.000, 0.000, 0.943], [0.500, 0.500, 0.301]],
  "e_tot_ev_per_cell": -29.4
}


{
  "formula": "ScFe2Rh2",
  "functional": "PBE",
  "state": "relaxed",
  "cell": [[7.199, 0.000, 0.000], [0.000, 7.199, 0.000], [0.000, 0.000, 2.932]],
  "species": ["Sc", "Sc", "Rh", "Rh", "Rh", "Rh", "Fe", "Fe", "Fe", "Fe"],
  "fractional_positions": [[0.000, 0.000, 0.000], [0.500, 0.500, 0.000], [0.360, 0.860, 0.000], [0.860, 0.640, 0.000], [0.640, 0.140, 0.000], [0.140, 0.360, 0.000], [0.157, 0.657, 0.500], [0.657, 0.843, 0.500], [0.843, 0.343, 0.500], [0.343, 0.157, 0.500]],
  "e_tot_ev_per_cell": -77.4
}